1.
Computed, not measured: an optimized crystal structure of Hf2CuRh4 at the PBE-GGA level of DFT.

The structure in POSCAR format:
```
Hf2CuRh4
1.0
-1.862 1.862 8.711
1.862 -1.862 8.711
1.862 1.862 -8.711
Hf Cu Rh
2 1 4
Direct
0.106 0.106 0.000
0.894 0.894 0.000
0.500 0.500 0.000
0.250 0.750 0.500
0.360 0.360 0.000
0.640 0.640 0.000
0.750 0.250 0.500
```

## Properties
calculated formation energy	-6.44	kcal/mol of atoms
ρ	11.4	g/cm³
M_tot	0.00	μB per formula unit
total energy	-55.4	eV per cell

=====

2.
Computed, not measured: an optimized crystal structure of Cs2SmPd3F12 at the PBE-GGA level of DFT.

The structure in POSCAR format:
```
Cs2SmPd3F12
1.0
4.015 2.318 6.280
-4.015 2.318 6.280
0.000 -4.636 6.280
Cs Sm Pd F
2 1 3 12
Direct
0.118 0.118 0.118
0.882 0.882 0.882
0.500 0.500 0.500
0.000 0.500 0.500
0.500 0.000 0.500
0.500 0.500 0.000
0.154 0.592 0.592
0.199 0.199 0.581
0.199 0.581 0.199
0.408 0.408 0.846
0.408 0.846 0.408
0.419 0.801 0.801
0.581 0.199 0.199
0.592 0.154 0.592
0.592 0.592 0.154
0.801 0.419 0.801
0.801 0.801 0.419
0.846 0.408 0.408
```

## Properties
ρ	4.6	g/cm³
M_tot	1.41	μB per formula unit
total energy	-83.9	eV per cell

=====

3.
Computed, not measured: an optimized crystal structure of AgB3F at the PBE-GGA level of DFT.

The structure in POSCAR format:
```
AgB3F
1.0
4.190 0.000 0.000
0.000 4.190 0.000
0.000 0.000 4.190
Ag B F
1 3 1
Direct
0.000 0.000 0.000
0.000 0.000 0.500
0.000 0.500 0.000
0.500 0.000 0.000
0.500 0.500 0.500
```

## Properties
ρ	3.6	g/cm³
M_tot	0.00	μB per formula unit
total energy	-16.4	eV per cell

=====

4.
Computed, not measured: an optimized crystal structure of Nd2ThSc at the PBE-GGA level of DFT.

The structure in POSCAR format:
```
Nd2ThSc
1.0
0.000 3.991 3.991
3.991 0.000 3.991
3.991 3.991 0.000
Nd Th Sc
2 1 1
Direct
0.250 0.250 0.250
0.750 0.750 0.750
0.000 0.000 0.000
0.500 0.500 0.500
```

## Properties
calculated formation energy	5.25	kcal/mol of atoms
ρ	7.4	g/cm³
M_tot	0.02	μB per formula unit
total energy	-22.4	eV per cell

=====

The highest total energy belongs to which entry?
AgB3F

=====

total energy of number 3 (AgB3F)?
-16.4 eV per cell

=====

Look up the M_tot of the third one.
0.00 μB per formula unit